Entry 1:
! ScCrCu4 (PBE, relaxed); values from VASP
&SYSTEM
  ibrav = 0, nat = 6, ntyp = 3
/
ATOMIC_SPECIES
Sc 44.96 Sc.upf
Cr 52.00 Cr.upf
Cu 63.55 Cu.upf
CELL_PARAMETERS angstrom
0.0000 3.4935 3.4935
3.4935 0.0000 3.4935
3.4935 3.4935 0.0000
ATOMIC_POSITIONS angstrom
Sc 0.0000 0.0000 0.0000
Cr 5.2402 5.2402 5.2402
Cu 2.6236 2.6236 2.6236
Cu 4.3633 4.3633 2.6236
Cu 4.3633 2.6236 4.3633
Cu 2.6236 4.3633 4.3633
! Calculated volume in Å³/cell: 85.3
! ρ in g/cm3: 6.84
! Energy relative to the elements in eV per atom: -0.037
! Electronic total energy in eV per atom: -5.43
! Magnetic moment in μB per formula unit: 4.61
! Density of states at the Fermi level in states/eV per cell: 6.054

Entry 2:
! ScCrCu (PBE, relaxed); values from VASP
&SYSTEM
  ibrav = 0, nat = 12, ntyp = 3
/
ATOMIC_SPECIES
Sc 44.96 Sc.upf
Cr 52.00 Cr.upf
Cu 63.55 Cu.upf
CELL_PARAMETERS angstrom
4.5591 0.0000 0.0000
0.0000 5.2807 0.0000
0.0000 0.0000 7.5832
ATOMIC_POSITIONS angstrom
Sc 0.0000 1.3202 0.8587
Sc 0.0000 3.9605 6.7245
Sc 2.2796 1.3202 2.9329
Sc 2.2796 3.9605 4.6503
Cr 1.1398 1.3202 5.6874
Cr 1.1398 3.9605 1.8958
Cr 3.4194 1.3202 5.6874
Cr 3.4194 3.9605 1.8958
Cu 0.0000 0.0000 3.7916
Cu 0.0000 2.6404 3.7916
Cu 2.2796 0.0000 0.0000
Cu 2.2796 2.6404 0.0000
! Calculated volume in Å³/cell: 182.6
! ρ in g/cm3: 5.84
! Energy relative to the elements in eV per atom: 0.023
! Electronic total energy in eV per atom: -6.66
! Magnetic moment in μB per formula unit: 0.76
! Density of states at the Fermi level in states/eV per cell: 11.235
! Energy relative to the lowest polymorph listed for this composition in meV/atom: 0